1.
Material: La2Tb3In3
Method: DFT, PBE
State: optimized geometry

Lattice parameters (Å, degrees): 4.952 5.064 9.397 90.00 90.00 90.00
Fractional positions:
In1 0.000 0.500 0.000
Tb1 0.500 0.000 0.000
In2 0.000 0.500 0.500
In3 0.500 0.000 0.500
La1 0.000 0.000 0.255
La2 0.000 0.000 0.745
Tb2 0.500 0.500 0.271
Tb3 0.500 0.500 0.729

Output
- ΔH_f (0 K): -355 meV per atom
- DOS at the Fermi energy: 8.365 states/eV/f.u.

***

2.
Material: LaTb6In
Method: DFT, PBE
State: optimized geometry

Lattice parameters (Å, degrees): 4.927 4.927 10.212 90.00 90.00 90.00
Fractional positions:
Tb1 0.500 0.500 0.500
Tb2 0.500 0.000 0.261
Tb3 0.000 0.500 0.739
In1 0.000 0.000 0.500
La1 0.000 0.000 0.000
Tb4 0.000 0.500 0.261
Tb5 0.500 0.500 0.000
Tb6 0.500 0.000 0.739

Output
- ΔH_f (0 K): -97 meV per atom
- DOS at the Fermi energy: 10.512 states/eV/f.u.

***

3.
Material: La4TbIn2
Method: DFT, PBE
State: optimized geometry

Lattice parameters (Å, degrees): 6.062 6.062 7.811 112.83 112.83 90.00
Fractional positions:
In1 0.621 0.621 0.243
La1 0.500 0.000 0.000
Tb1 0.000 0.000 0.000
La2 0.750 0.250 0.500
La3 0.000 0.500 0.000
In2 0.379 0.379 0.757
La4 0.250 0.750 0.500

Output
- ΔH_f (0 K): 42 meV per atom
- ΔE to the lowest computed polymorph: 5.64 kcal/mol of atoms
- DOS at the Fermi energy: 9.724 states/eV/f.u.

***

4.
Material: LaTb4In4
Method: DFT, PBE
State: optimized geometry

Lattice parameters (Å, degrees): 7.334 7.334 10.612 90.00 90.00 90.00
Fractional positions:
Tb1 0.500 0.234 0.092
In1 0.500 0.209 0.794
In2 0.791 0.500 0.206
In3 0.709 0.000 0.294
Tb2 0.000 0.266 0.408
Tb3 0.234 0.500 0.908
In4 0.500 0.791 0.794
Tb4 0.766 0.500 0.908
Tb5 0.000 0.734 0.408
Tb6 0.734 0.000 0.592
In5 0.209 0.500 0.206
In6 0.000 0.709 0.706
Tb7 0.500 0.766 0.092
La1 0.000 0.000 0.000
In7 0.291 0.000 0.294
In8 0.000 0.291 0.706
La2 0.500 0.500 0.500
Tb8 0.266 0.000 0.592

Output
- ΔH_f (0 K): -208 meV per atom
- DOS at the Fermi energy: 6.988 states/eV/f.u.

***

| no. | total magnetization (Bohr magnetons per cell) | electronic total energy (eV/atom) |
| --- | --- | --- |
| 1 | 0.0 | -4.350 |
| 2 | 0.0 | -4.528 |
| 3 | 0.0 | -4.218 |
| 4 | 0.0 | -4.030 |